1:
A relaxed CaY2Hg2 crystal, computed with GGA-PBE.

Cell: 4.7198 4.7198 7.9585 Å, 72.75 72.75 90.00°
Last column: nearest neighbours and their distance in Å.
Atoms (fractional coordinates):
Ca1 0.0000 0.0000 0.0000  8 Y 3.76
Hg1 0.2500 0.7500 0.5000  4 Y 3.02, 4 Hg 3.34
Hg2 0.7500 0.2500 0.5000  4 Y 3.02, 4 Hg 3.34
Y1 0.3807 0.3807 0.2387  4 Hg 3.02
Y2 0.6193 0.6193 0.7613  4 Hg 3.02

Computed properties:
SG = I4/mmm
Density of states at the Fermi level = 4.8 states/eV/cell

=====

2:
A relaxed CaY2Hg2 crystal, computed with GGA-PBE.

Cell: 8.9641 8.9641 3.4928 Å, 90.00 90.00 90.00°
Last column: nearest neighbours and their distance in Å.
Atoms (fractional coordinates):
Hg1 0.1671 0.6671 0.5000  6 Y 3.09-3.22
Ca1 0.5000 0.5000 0.0000  2 Ca 3.49, 4 Y 3.50, 8 Hg 3.77
Hg2 0.6671 0.8329 0.5000  6 Y 3.09-3.22
Y1 0.3678 0.8678 0.0000  6 Hg 3.09-3.22, 1 Y 3.35
Ca2 0.0000 0.0000 0.0000  2 Ca 3.49, 4 Y 3.50, 8 Hg 3.77
Y2 0.1322 0.3678 0.0000  6 Hg 3.09-3.22, 1 Y 3.35
Hg3 0.8329 0.3329 0.5000  6 Y 3.09-3.22
Y3 0.8678 0.6322 0.0000  6 Hg 3.09-3.22, 1 Y 3.35
Y4 0.6322 0.1322 0.0000  6 Hg 3.09-3.22, 1 Y 3.35
Hg4 0.3329 0.1671 0.5000  6 Y 3.09-3.22

Computed properties:
SG = P4/mbm
Density of states at the Fermi level = 9.0 states/eV/cell

=====

Which is the most stable structure? 2 is the most stable.

=====

1:
A relaxed CaY2Hg2 crystal, computed with GGA-PBE.

Cell: 3.7403 5.3884 13.9390 Å, 90.00 97.68 90.00°
Last column: nearest neighbours and their distance in Å.
Atoms (fractional coordinates):
Y1 0.9517 0.2500 0.9038  8 Hg 3.17-3.28
Hg1 0.5457 0.2500 0.0895  6 Y 3.17-3.28, 2 Ca 3.31
Ca1 0.1441 0.2500 0.2875  6 Hg 3.28-3.31, 2 Y 3.65
Y2 0.0483 0.7500 0.0962  8 Hg 3.17-3.28
Hg2 0.3566 0.2500 0.7139  4 Y 3.11-3.22, 4 Ca 3.28
Hg3 0.4543 0.7500 0.9105  6 Y 3.17-3.28, 2 Ca 3.31
Ca2 0.8559 0.7500 0.7125  6 Hg 3.28-3.31, 2 Y 3.65
Y3 0.2330 0.7500 0.4659  2 Hg 3.11, 4 Y 3.41
Hg4 0.6434 0.7500 0.2861  4 Y 3.11-3.22, 4 Ca 3.28
Y4 0.7670 0.2500 0.5341  2 Hg 3.11, 4 Y 3.41

Computed properties:
SG = P2_1/m
Density of states at the Fermi level = 6.6 states/eV/cell

=====

2:
A relaxed CaY2Hg2 crystal, computed with GGA-PBE.

Cell: 4.6800 4.6800 7.6885 Å, 72.28 72.28 90.00°
Last column: nearest neighbours and their distance in Å.
Atoms (fractional coordinates):
Y1 0.2500 0.7500 0.5000  4 Hg 3.12, 4 Y 3.31
Ca1 0.0000 0.0000 0.0000  8 Hg 3.60
Hg1 0.6013 0.6013 0.7975  1 Hg 2.81, 4 Y 3.12
Y2 0.7500 0.2500 0.5000  4 Hg 3.12, 4 Y 3.31
Hg2 0.3987 0.3987 0.2025  1 Hg 2.81, 4 Y 3.12

Computed properties:
SG = I4/mmm
Density of states at the Fermi level = 6.8 states/eV/cell

=====

Which is the most stable structure? 1 is the most stable.

=====

1:
A relaxed Ca2ZnHg2 crystal, computed with GGA-PBE.

Cell: 7.9470 7.9470 4.2528 Å, 90.00 90.00 90.00°
Last column: nearest neighbours and their distance in Å.
Atoms (fractional coordinates):
Hg1 0.8634 0.6366 0.0000  6 Ca 3.06-3.23, 1 Hg 3.07, 2 Zn 3.09
Hg2 0.1366 0.3634 0.0000  6 Ca 3.06-3.23, 1 Hg 3.07, 2 Zn 3.09
Zn1 0.5000 0.5000 0.0000  4 Hg 3.09
Ca1 0.3321 0.1679 0.5000  6 Hg 3.06-3.23
Ca2 0.6679 0.8321 0.5000  6 Hg 3.06-3.23
Zn2 0.0000 0.0000 0.0000  4 Hg 3.09
Hg3 0.6366 0.1366 0.0000  6 Ca 3.06-3.23, 1 Hg 3.07, 2 Zn 3.09
Ca3 0.8321 0.3321 0.5000  6 Hg 3.06-3.23
Hg4 0.3634 0.8634 0.0000  6 Ca 3.06-3.23, 1 Hg 3.07, 2 Zn 3.09
Ca4 0.1679 0.6679 0.5000  6 Hg 3.06-3.23

Computed properties:
SG = P4/mbm
Density of states at the Fermi level = 6.5 states/eV/cell

=====

2:
A relaxed Ca2ZnHg2 crystal, computed with GGA-PBE.

Cell: 4.4240 6.1524 10.6047 Å, 81.87 77.96 68.93°
Last column: nearest neighbours and their distance in Å.
Atoms (fractional coordinates):
Hg1 0.9683 0.1794 0.8840  1 Zn 2.82, 1 Hg 3.05
Ca1 0.3121 0.2641 0.1117  6 Hg 3.20-3.37, 2 Zn 3.34
Zn1 0.2070 0.9237 0.6623  4 Hg 2.69-2.97
Zn2 0.7930 0.0763 0.3377  4 Hg 2.69-2.97
Hg2 0.0317 0.8206 0.1160  1 Zn 2.82, 1 Hg 3.05
Ca2 0.4967 0.6712 0.3355  3 Zn 3.21-3.41, 6 Hg 3.24-3.32
Ca3 0.6879 0.7359 0.8883  6 Hg 3.20-3.37, 2 Zn 3.34
Hg3 0.1507 0.2652 0.4333  3 Zn 2.69-2.97
Hg4 0.8493 0.7348 0.5667  3 Zn 2.69-2.97
Ca4 0.5033 0.3288 0.6645  3 Zn 3.21-3.41, 6 Hg 3.24-3.32

Computed properties:
SG = C2/m
Density of states at the Fermi level = 6.3 states/eV/cell

=====

Which is the most stable structure? 2 is the most stable.

=====

1:
A relaxed Ca4ZnHg crystal, computed with GGA-PBE.

Cell: 6.7551 6.7551 6.7551 Å, 60.00 60.00 60.00°
Last column: nearest neighbours and their distance in Å.
Atoms (fractional coordinates):
Ca1 0.3750 0.3750 0.3750  6 Ca 3.38
Ca2 0.3750 0.3750 0.8750  6 Ca 3.38
Ca3 0.3750 0.8750 0.3750  6 Ca 3.38
Hg1 0.7500 0.7500 0.7500  12 Ca 3.96, 4 Zn 4.14
Zn1 0.0000 0.0000 0.0000  12 Ca 3.96, 4 Hg 4.14
Ca4 0.8750 0.3750 0.3750  6 Ca 3.38

Computed properties:
SG = F-43m
Density of states at the Fermi level = 6.8 states/eV/cell

=====

2:
A relaxed Ca4ZnHg crystal, computed with GGA-PBE.

Cell: 3.7891 3.7891 12.9957 Å, 90.00 90.00 90.00°
Last column: nearest neighbours and their distance in Å.
Atoms (fractional coordinates):
Hg1 0.5000 0.5000 0.5000  8 Ca 3.24
Zn1 0.0000 0.0000 0.0000  8 Ca 3.20
Ca1 0.5000 0.5000 0.8647  4 Zn 3.20, 1 Ca 3.52
Ca2 0.0000 0.0000 0.6407  4 Hg 3.24
Ca3 0.0000 0.0000 0.3593  4 Hg 3.24
Ca4 0.5000 0.5000 0.1353  4 Zn 3.20, 1 Ca 3.52

Computed properties:
SG = P4/mmm
Density of states at the Fermi level = 4.6 states/eV/cell

=====

3:
A relaxed Ca4ZnHg crystal, computed with GGA-PBE.

Cell: 5.2637 5.2656 7.4444 Å, 89.89 89.94 90.00°
Last column: nearest neighbours and their distance in Å.
Atoms (fractional coordinates):
Ca1 0.0015 0.4974 0.7444  2 Zn 3.20-3.21, 2 Hg 3.24
Zn1 0.0014 0.9969 0.4983  8 Ca 3.20-3.21
Ca2 0.5013 0.9969 0.2518  2 Zn 3.21, 2 Hg 3.24
Ca3 0.0010 0.4972 0.2519  2 Zn 3.21, 2 Hg 3.24
Ca4 0.5013 0.9978 0.7444  2 Zn 3.21, 2 Hg 3.24
Hg1 0.5012 0.4974 0.9981  8 Ca 3.24

Computed properties:
SG = C2/m
Density of states at the Fermi level = 8.2 states/eV/cell

=====

Which is the most stable structure? 2 is the most stable.

=====

1:
A relaxed Ca8ZnHg2 crystal, computed with GGA-PBE.

Cell: 5.3244 7.5191 9.8505 Å, 107.43 105.68 90.00°
Last column: nearest neighbours and their distance in Å.
Atoms (fractional coordinates):
Ca1 0.7966 0.6896 0.5933  3 Hg 3.12-3.45
Ca2 0.6658 0.9637 0.3316  3 Hg 3.15-3.36, 1 Zn 3.24
Ca3 0.5947 0.4515 0.1894  1 Zn 3.31, 2 Hg 3.40, 4 Ca 3.64-3.69
Zn1 0.5000 0.0000 0.0000  8 Ca 3.23-3.31
Ca4 0.3342 0.0363 0.6684  3 Hg 3.15-3.36, 1 Zn 3.24
Ca5 0.9704 0.2104 0.9407  1 Hg 3.16, 2 Zn 3.23
Hg1 0.1830 0.7069 0.3660  9 Ca 3.12-3.45
Ca6 0.0296 0.7896 0.0593  1 Hg 3.16, 2 Zn 3.23
Ca7 0.4053 0.5485 0.8106  1 Zn 3.31, 2 Hg 3.40, 4 Ca 3.64-3.69
Ca8 0.2034 0.3104 0.4067  3 Hg 3.12-3.45
Hg2 0.8170 0.2931 0.6340  9 Ca 3.12-3.45

Computed properties:
SG = C2/m
Density of states at the Fermi level = 12.8 states/eV/cell

=====

2:
A relaxed Ca8ZnHg2 crystal, computed with GGA-PBE.

Cell: 5.2437 9.1602 9.1108 Å, 120.18 106.72 90.00°
Last column: nearest neighbours and their distance in Å.
Atoms (fractional coordinates):
Ca1 0.8688 0.8688 0.7376  2 Zn 3.27, 4 Ca 3.53-3.66
Ca2 0.1312 0.1312 0.2624  2 Zn 3.27, 4 Ca 3.53-3.66
Ca3 0.6618 0.8783 0.3237  3 Hg 3.33-3.34, 1 Zn 3.54, 5 Ca 3.57-3.72
Ca4 0.0000 0.6786 0.0000  7 Ca 3.27-3.57, 2 Hg 3.35
Ca5 0.0000 0.3214 0.0000  7 Ca 3.27-3.57, 2 Hg 3.35
Ca6 0.3382 0.1217 0.6763  3 Hg 3.33-3.34, 1 Zn 3.54, 5 Ca 3.57-3.72
Ca7 0.6618 0.4454 0.3237  3 Hg 3.33-3.34, 1 Zn 3.54, 5 Ca 3.57-3.72
Hg1 0.8035 0.3035 0.6069  10 Ca 3.33-3.66
Zn1 0.5000 0.0000 0.0000  8 Ca 3.27-3.54
Ca8 0.3382 0.5546 0.6763  3 Hg 3.33-3.34, 1 Zn 3.54, 5 Ca 3.57-3.72
Hg2 0.1965 0.6965 0.3931  10 Ca 3.33-3.66

Computed properties:
SG = Immm
Density of states at the Fermi level = 7.5 states/eV/cell

=====

Which is the most stable structure? 1 is the most stable.